# MnCoBrF

An optimized crystal structure of MnCoBrF (PBE with a Hubbard U, Alexandria).

Properties
DOS(E_F)	3.9	states/eV per cell
E_tot	-37.9	eV/cell
M_tot	6.9	μB/f.u.
excess energy over the best structure of this formula in the dataset	0	kJ/mol of formula units

Cell lengths 5.9326, 3.4252, 8.2667 Å; angles 90.00, 103.72, 90.00 degrees
Space group Cm (No. 8)
Asymmetric unit:
Mn 0.0000 0.0000 0.0000 [2 per cell]
Co 0.2432 0.0000 0.7271 [2 per cell]
Br 0.0151 0.5000 0.5413 [2 per cell]
F 0.2045 0.5000 0.1148 [2 per cell]